Entry 1:
Material: Cr2Tc4Hg
Method: DFT, GGA-PBE
State: relaxed

Unit cell a=6.956 b=6.956 c=6.956 alpha=138.57 beta=138.57 gamma=60.03
Atoms (fractional coordinates):
Cr 0.105 0.105 0.000
Cr 0.895 0.895 0.000
Tc 0.000 0.500 0.500
Tc 0.273 0.273 0.000
Tc 0.500 0.000 0.500
Tc 0.727 0.727 0.000
Hg 0.500 0.500 0.000

Summary:
- space-group type = I4/mmm (139)
- DOS at the Fermi energy (states/eV/atom) = 1.009
- DFT total energy (eV per atom) = -6.790

=====

Entry 2:
Material: La2PrEr9
Method: DFT, GGA-PBE
State: relaxed

Unit cell a=5.046 b=5.046 c=15.143 alpha=90.00 beta=90.00 gamma=90.00
Atoms (fractional coordinates):
La 0.000 0.000 0.166
La 0.000 0.000 0.834
Pr 0.000 0.000 0.500
Er 0.000 0.500 0.000
Er 0.000 0.500 0.335
Er 0.000 0.500 0.665
Er 0.500 0.000 0.000
Er 0.500 0.000 0.335
Er 0.500 0.000 0.665
Er 0.500 0.500 0.168
Er 0.500 0.500 0.500
Er 0.500 0.500 0.832

Summary:
- space-group type = P4/mmm (123)
- DOS at the Fermi energy (states/eV/atom) = 1.587
- ΔE to the lowest computed polymorph (eV/atom) = 0.000
- DFT total energy (eV per atom) = -4.607

=====

Entry 3:
Material: Pm2SmRuN4
Method: DFT, GGA-PBE
State: relaxed

Unit cell a=6.195 b=6.195 c=11.998 alpha=90.00 beta=90.00 gamma=147.43
Atoms (fractional coordinates):
Pm 0.132 0.868 0.543
Pm 0.132 0.868 0.957
Pm 0.868 0.132 0.043
Pm 0.868 0.132 0.457
Sm 0.376 0.624 0.750
Sm 0.624 0.376 0.250
Ru 0.356 0.644 0.250
Ru 0.644 0.356 0.750
N 0.062 0.938 0.750
N 0.228 0.772 0.135
N 0.228 0.772 0.365
N 0.500 0.500 0.000
N 0.500 0.500 0.500
N 0.772 0.228 0.635
N 0.772 0.228 0.865
N 0.938 0.062 0.250

Summary:
- space-group type = Cmcm (63)
- DOS at the Fermi energy (states/eV/atom) = 0.243
- E_form (uncorrected) (meV per atom) = -880
- DFT total energy (eV per atom) = -7.980